CePS4: relaxed, PBE.

a b c (Å): 6.611 6.611 5.792
angles (deg): 124.80 124.80 90.00
Each line ends with the local moment (μB).
Fractional coordinates of all 6 atoms:
S 0.498 0.585 0.708  -0.01
P 0.500 0.500 0.000  0.00
S 0.210 0.122 0.708  -0.01
Ce 0.750 0.250 0.500  0.98
S 0.415 0.790 0.292  -0.01
S 0.878 0.502 0.292  -0.01

Fermi-level density of states in states/eV/f.u.: 7.292
Crystal system: tetragonal
Formation energy without anion corrections in eV/atom: -0.86